[1]
This record from the Alexandria database describes crystalline RbFe3B at its relaxed geometry. The functional is GGA-PBE.

a = 4.5942 Å, b = 4.5942 Å, c = 4.5942 Å
α = 90.00°, β = 90.00°, γ = 90.00°
Last column: nearest neighbours and their distance in Å.
Sites, in units of the cell vectors:
B 0.5000 0.5000 0.5000  12 Fe 3.25
Fe 0.0000 0.5000 0.0000  2 Rb 2.30
Fe 0.0000 0.0000 0.5000  2 Rb 2.30
Fe 0.5000 0.0000 0.0000  2 Rb 2.30
Rb 0.0000 0.0000 0.0000  6 Fe 2.30

Output
Energy relative to the lowest polymorph listed for this composition: 11.85 eV per formula unit
Spin magnetization: 1.5522 μB/atom
ΔH_f (0 K): 3370 meV/atom
Density of states at the Fermi level: 5.63 states/eV/f.u.

[2]
This record from the Alexandria database describes crystalline LaCr2Ru at its relaxed geometry. The functional is GGA-PBE.

a = 3.0404 Å, b = 3.0582 Å, c = 7.6362 Å
α = 90.00°, β = 90.00°, γ = 90.00°
Last column: nearest neighbours and their distance in Å.
Sites, in units of the cell vectors:
Cr 0.0000 0.0000 0.9396  4 Ru 2.60, 1 Cr 2.90
Cr 0.0000 0.0000 0.5604  4 Ru 2.60, 1 Cr 2.90
La 0.5000 0.5000 0.2500  4 La 3.04-3.06, 8 Cr 3.20
Ru 0.5000 0.5000 0.7500  8 Cr 2.60

Output
Energy relative to the lowest polymorph listed for this composition: 0.45 eV per formula unit
Spin magnetization: 1.1081 μB/atom
ΔH_f (0 K): 424 meV/atom
Density of states at the Fermi level: 4.17 states/eV/f.u.

[3]
This record from the Alexandria database describes crystalline Re2AgSe at its relaxed geometry. The functional is GGA-PBE.

a = 2.8980 Å, b = 4.9034 Å, c = 5.5574 Å
α = 54.62°, β = 90.00°, γ = 90.00°
Last column: nearest neighbours and their distance in Å.
Sites, in units of the cell vectors:
Ag 0.0000 0.0000 0.5000  6 Re 2.78-2.82, 4 Se 2.85, 2 Ag 2.90
Re 0.0000 0.0000 0.0000  2 Ag 2.78, 4 Se 2.82, 6 Re 2.85-2.90
Re 0.5000 0.5000 0.0000  2 Se 2.78, 4 Ag 2.82, 6 Re 2.85-2.90
Se 0.5000 0.5000 0.5000  6 Re 2.78-2.82, 4 Ag 2.85, 2 Se 2.90

Output
Energy relative to the elements, uncorrected: 864.1 meV per atom
Spin magnetization: 0.0000 μB/atom
Density of states at the Fermi level: 3.44 states/eV/f.u.

[4]
This record from the Alexandria database describes crystalline K2MnSn at its relaxed geometry. The functional is GGA-PBE.

a = 13.1592 Å, b = 13.1592 Å, c = 9.6456 Å
α = 46.99°, β = 46.99°, γ = 90.00°
Last column: nearest neighbours and their distance in Å.
Sites, in units of the cell vectors:
K 0.4237 0.1250 0.2500  2 Mn 3.41
K 0.3263 0.6250 0.2500  2 Mn 3.41
K 0.3750 0.5763 0.7500  2 Mn 3.41
K 0.8750 0.6737 0.7500  2 Mn 3.41
Mn 0.5000 0.5000 0.0000  2 Sn 2.54
Mn 0.2500 0.7500 0.5000  2 Sn 2.54
Sn 0.0000 0.0000 0.0000  2 Mn 2.54
Sn 0.7500 0.2500 0.5000  2 Mn 2.54

Output
Spin magnetization: 0.9802 μB/atom
ΔH_f (0 K): 381 meV/atom
Density of states at the Fermi level: 2.97 states/eV/f.u.

[5]
This record from the Alexandria database describes crystalline Ti2CrAuC at its relaxed geometry. The functional is GGA-PBE.

a = 4.2233 Å, b = 4.2233 Å, c = 3.8382 Å
α = 90.00°, β = 90.00°, γ = 90.00°
Last column: nearest neighbours and their distance in Å.
Sites, in units of the cell vectors:
Cr 0.0000 0.0000 0.5000  2 C 1.92
C 0.0000 0.0000 0.0000  2 Cr 1.92, 4 Ti 2.11
Au 0.5000 0.5000 0.5000  8 Ti 2.85, 4 Cr 2.99
Ti 0.0000 0.5000 0.0000  2 C 2.11
Ti 0.5000 0.0000 0.0000  2 C 2.11

Output
Spin magnetization: 0.0851 μB/atom
ΔH_f (0 K): -418 meV/atom
Density of states at the Fermi level: 3.92 states/eV/f.u.

[6]
This record from the Alexandria database describes crystalline RbSe2BrN at its relaxed geometry. The functional is GGA-PBE.

a = 6.1848 Å, b = 6.1848 Å, c = 3.6452 Å
α = 90.00°, β = 90.00°, γ = 90.00°
Last column: nearest neighbours and their distance in Å.
Sites, in units of the cell vectors:
Se 0.0000 0.5000 0.0000  2 Br 3.09
Se 0.5000 0.0000 0.0000  2 Br 3.09
Br 0.0000 0.0000 0.0000  2 N 1.82
Rb 0.5000 0.5000 0.5000  8 Se 3.59, 2 Rb 3.65
N 0.0000 0.0000 0.5000  2 Br 1.82

Output
Energy relative to the lowest polymorph listed for this composition: 3.37 eV per formula unit
Energy relative to the elements, uncorrected: 916.0 meV per atom
Spin magnetization: 0.0000 μB/atom
Density of states at the Fermi level: 3.30 states/eV/f.u.

[7]
This record from the Alexandria database describes crystalline HoErSn6 at its relaxed geometry. The functional is GGA-PBE.

a = 4.6798 Å, b = 4.6798 Å, c = 9.5156 Å
α = 90.00°, β = 90.00°, γ = 90.00°
Last column: nearest neighbours and their distance in Å.
Sites, in units of the cell vectors:
Ho 0.0000 0.0000 0.5000  12 Sn 3.31-3.34
Er 0.0000 0.0000 0.0000  12 Sn 3.31-3.33
Sn 0.5000 0.5000 0.0000  4 Er 3.31, 8 Sn 3.33
Sn 0.5000 0.5000 0.5000  4 Ho 3.31, 8 Sn 3.34
Sn 0.5000 0.0000 0.2493  8 Sn 3.31-3.34, 2 Er 3.33, 2 Ho 3.34
Sn 0.5000 0.0000 0.7507  8 Sn 3.31-3.34, 2 Er 3.33, 2 Ho 3.34
Sn 0.0000 0.5000 0.2493  8 Sn 3.31-3.34, 2 Er 3.33, 2 Ho 3.34
Sn 0.0000 0.5000 0.7507  8 Sn 3.31-3.34, 2 Er 3.33, 2 Ho 3.34

Output
Spin magnetization: 0.0000 μB/atom
ΔH_f (0 K): -395 meV/atom
Density of states at the Fermi level: 4.67 states/eV/f.u.

[8]
This record from the Alexandria database describes crystalline GaGe3S at its relaxed geometry. The functional is GGA-PBE.

a = 4.9517 Å, b = 4.9517 Å, c = 4.9517 Å
α = 90.00°, β = 90.00°, γ = 90.00°
Last column: nearest neighbours and their distance in Å.
Sites, in units of the cell vectors:
Ge 0.0000 0.5000 0.0000  2 S 2.48
Ge 0.0000 0.0000 0.5000  2 S 2.48
Ge 0.5000 0.0000 0.0000  2 S 2.48
S 0.0000 0.0000 0.0000  6 Ge 2.48
Ga 0.5000 0.5000 0.5000  12 Ge 3.50

Output
Energy relative to the lowest polymorph listed for this composition: 0.00 eV per formula unit
Energy relative to the elements, uncorrected: 555.1 meV per atom
Spin magnetization: 0.0000 μB/atom
Density of states at the Fermi level: 1.84 states/eV/f.u.

[9]
This record from the Alexandria database describes crystalline Sm2ZnPd at its relaxed geometry. The functional is GGA-PBE.

a = 5.1111 Å, b = 5.1111 Å, c = 5.1111 Å
α = 60.00°, β = 60.00°, γ = 60.00°
Last column: nearest neighbours and their distance in Å.
Sites, in units of the cell vectors:
Zn 0.5000 0.5000 0.5000  8 Sm 3.13
Pd 0.0000 0.0000 0.0000  8 Sm 3.13
Sm 0.2500 0.2500 0.2500  4 Pd 3.13, 4 Zn 3.13
Sm 0.7500 0.7500 0.7500  4 Pd 3.13, 4 Zn 3.13

Output
Energy relative to the lowest polymorph listed for this composition: 0.12 eV per formula unit
Spin magnetization: 0.0000 μB/atom
ΔH_f (0 K): -537 meV/atom
Density of states at the Fermi level: 2.72 states/eV/f.u.

[10]
This record from the Alexandria database describes crystalline Cu4GePb2 at its relaxed geometry. The functional is GGA-PBE.

a = 4.5561 Å, b = 4.5561 Å, c = 7.8470 Å
α = 73.12°, β = 73.12°, γ = 90.00°
Last column: nearest neighbours and their distance in Å.
Sites, in units of the cell vectors:
Pb 0.6472 0.6472 0.7055  1 Cu 2.69
Pb 0.3528 0.3528 0.2945  1 Cu 2.69
Ge 0.0000 0.0000 0.0000  6 Cu 2.28-2.36
Cu 0.8349 0.8349 0.3302  1 Ge 2.36
Cu 0.1651 0.1651 0.6698  1 Ge 2.36
Cu 0.0000 0.5000 0.0000  2 Ge 2.28
Cu 0.5000 0.0000 0.0000  2 Ge 2.28

Output
Spin magnetization: 0.0000 μB/atom
ΔH_f (0 K): 409 meV/atom
Density of states at the Fermi level: 2.67 states/eV/f.u.

[11]
This record from the Alexandria database describes crystalline MgNbHg2N at its relaxed geometry. The functional is GGA-PBE.

a = 5.3223 Å, b = 5.5250 Å, c = 5.3223 Å
α = 90.00°, β = 90.00°, γ = 90.00°
Last column: nearest neighbours and their distance in Å.
Sites, in units of the cell vectors:
Mg 0.0000 0.5000 0.0000  2 Nb 2.76
Nb 0.0000 0.0000 0.0000  4 Hg 2.66, 2 Mg 2.76
Hg 0.0000 0.0000 0.5000  2 Nb 2.66
Hg 0.5000 0.0000 0.0000  2 Nb 2.66
N 0.5000 0.5000 0.5000  4 Mg 3.76, 8 Hg 3.84

Output
Energy relative to the elements, uncorrected: 2084.5 meV per atom
Spin magnetization: 0.0752 μB/atom
Density of states at the Fermi level: 7.91 states/eV/f.u.

[12]
This record from the Alexandria database describes crystalline PuTc3B3 at its relaxed geometry. The functional is GGA-PBE.

a = 4.0544 Å, b = 7.5340 Å, c = 7.1804 Å
α = 122.32°, β = 90.00°, γ = 90.00°
Last column: nearest neighbours and their distance in Å.
Sites, in units of the cell vectors:
Pu 0.7500 0.4105 0.7866  5 B 2.74-2.95, 3 Tc 2.81-3.02
Pu 0.2500 0.5895 0.2134  5 B 2.74-2.95, 3 Tc 2.81-3.02
Tc 0.7500 0.8829 0.0164  3 B 2.07-2.13
Tc 0.7500 0.3224 0.3534  4 B 2.08-2.19
Tc 0.7500 0.9608 0.6349  4 B 2.02-2.19
Tc 0.2500 0.1171 0.9836  3 B 2.07-2.13
Tc 0.2500 0.6776 0.6466  4 B 2.08-2.19
Tc 0.2500 0.0392 0.3651  4 B 2.02-2.19
B 0.7500 0.9142 0.3205  4 Tc 2.07-2.19
B 0.7500 0.2184 0.0201  3 Tc 2.08-2.13
B 0.7500 0.6499 0.5183  4 Tc 2.02-2.19
B 0.2500 0.0858 0.6795  4 Tc 2.07-2.19
B 0.2500 0.7816 0.9799  3 Tc 2.08-2.13
B 0.2500 0.3501 0.4817  4 Tc 2.02-2.19

Output
Spin magnetization: 0.7313 μB/atom
ΔH_f (0 K): -195 meV/atom
Density of states at the Fermi level: 10.41 states/eV/f.u.